(1)
Sr6AsSe2I3: optimized geometry, PBE.

Calculated values
D(E_F), states/eV/f.u.: 4.013
Formation energy without anion corrections, eV/atom: -1.553

Geometry as CIF:
```
data_Sr6AsSe2I3
_chemical_formula_sum 'Sr6 As1 Se2 I3'
_symmetry_space_group_name_H-M 'P 1'
_symmetry_Int_Tables_number 1
_cell_length_a 7.896
_cell_length_b 7.896
_cell_length_c 8.165
_cell_angle_alpha 99.27
_cell_angle_beta 99.27
_cell_angle_gamma 119.96
loop_
_symmetry_equiv_pos_as_xyz
'x,y,z'
loop_
_atom_site_label
_atom_site_fract_x
_atom_site_fract_y
_atom_site_fract_z
Sr1 0.931 0.603 0.792
Sr2 0.742 0.742 0.210
Sr3 0.069 0.397 0.208
Sr4 0.603 0.931 0.792
Sr5 0.258 0.258 0.790
Sr6 0.397 0.069 0.208
As1 0.000 0.000 0.000
Se1 0.334 0.666 0.000
Se2 0.666 0.334 0.000
I1 0.169 0.831 0.500
I2 0.831 0.169 0.500
I3 0.500 0.500 0.500
```

(2)
ScIrOs2: optimized geometry, PBE.

Calculated values
Distance to the lowest polymorph of the same formula, eV per atom: 0.187
D(E_F), states/eV/f.u.: 5.333
ΔH_f (0 K), meV/atom: 9.2

Geometry as CIF:
```
data_ScIrOs2
_chemical_formula_sum 'Sc1 Ir1 Os2'
_symmetry_space_group_name_H-M 'P 1'
_symmetry_Int_Tables_number 1
_cell_length_a 2.792
_cell_length_b 2.792
_cell_length_c 8.030
_cell_angle_alpha 90.00
_cell_angle_beta 90.00
_cell_angle_gamma 90.00
loop_
_symmetry_equiv_pos_as_xyz
'x,y,z'
loop_
_atom_site_label
_atom_site_fract_x
_atom_site_fract_y
_atom_site_fract_z
Ir1 0.500 0.500 0.750
Os1 0.000 0.000 0.981
Os2 0.000 0.000 0.519
Sc1 0.500 0.500 0.250
```

(3)
YZrTaO2: optimized geometry, PBE.

Calculated values
D(E_F), states/eV/f.u.: 6.956
Formation energy without anion corrections, eV/atom: 0.021

Geometry as CIF:
```
data_YZrTaO2
_chemical_formula_sum 'Y1 Zr1 Ta1 O2'
_symmetry_space_group_name_H-M 'P 1'
_symmetry_Int_Tables_number 1
_cell_length_a 4.203
_cell_length_b 6.411
_cell_length_c 4.203
_cell_angle_alpha 90.00
_cell_angle_beta 90.00
_cell_angle_gamma 90.00
loop_
_symmetry_equiv_pos_as_xyz
'x,y,z'
loop_
_atom_site_label
_atom_site_fract_x
_atom_site_fract_y
_atom_site_fract_z
Y1 0.000 0.000 0.000
O1 0.000 0.000 0.500
O2 0.500 0.000 0.000
Zr1 0.000 0.500 0.000
Ta1 0.500 0.500 0.500
```

(4)
LiNF2: optimized geometry, PBE.

Calculated values
Distance to the lowest polymorph of the same formula, eV per atom: 0.800
D(E_F), states/eV/f.u.: 7.080
Formation energy without anion corrections, eV/atom: -0.043

Geometry as CIF:
```
data_LiNF2
_chemical_formula_sum 'Li1 N1 F2'
_symmetry_space_group_name_H-M 'P 1'
_symmetry_Int_Tables_number 1
_cell_length_a 3.792
_cell_length_b 3.792
_cell_length_c 3.792
_cell_angle_alpha 60.00
_cell_angle_beta 60.00
_cell_angle_gamma 60.00
loop_
_symmetry_equiv_pos_as_xyz
'x,y,z'
loop_
_atom_site_label
_atom_site_fract_x
_atom_site_fract_y
_atom_site_fract_z
N1 0.500 0.500 0.500
Li1 0.000 0.000 0.000
F1 0.250 0.250 0.250
F2 0.750 0.750 0.750
```